Computed, not measured: a relaxed Al2SeBr crystal at the PBE level of DFT.

Geometry as CIF:
```
data_Al2SeBr
_chemical_formula_sum 'Al2 Se1 Br1'
_symmetry_space_group_name_H-M 'P 4 m m'
_symmetry_Int_Tables_number 99
_symmetry_space_group_name_Hall 'P 4 -2'
_cell_length_a 3.3801
_cell_length_b 3.3801
_cell_length_c 8.9984
_cell_angle_alpha 90.00
_cell_angle_beta 90.00
_cell_angle_gamma 90.00
loop_
_atom_site_label
_atom_site_fract_x
_atom_site_fract_y
_atom_site_fract_z
_atom_site_occupancy
Al1 0.0000 0.0000 0.0000 1
Al2 0.5000 0.5000 0.2802 1
Se1 0.5000 0.5000 0.8875 1
Br1 0.0000 0.0000 0.4609 1
```

---

Computed, not measured: a relaxed Al2SeBr crystal at the PBE level of DFT.

Geometry as CIF:
```
data_Al2SeBr
_chemical_formula_sum 'Al8 Se4 Br4'
_symmetry_space_group_name_H-M 'F m -3 m'
_symmetry_Int_Tables_number 225
_symmetry_space_group_name_Hall '-F 4 2 3'
_cell_length_a 6.9947
_cell_length_b 6.9947
_cell_length_c 6.9947
_cell_angle_alpha 90.00
_cell_angle_beta 90.00
_cell_angle_gamma 90.00
loop_
_atom_site_label
_atom_site_fract_x
_atom_site_fract_y
_atom_site_fract_z
_atom_site_occupancy
Al1 0.2500 0.2500 0.2500 1
Se1 0.0000 0.0000 0.0000 1
Br1 0.0000 0.0000 0.5000 1
```

---

Number 1: energy above the most stable polymorph in this dataset 349 meV/atom, uncorrected formation energy -0.18 eV per atom, DFT total energy -13.37 eV/cell. Number 2: energy above the most stable polymorph in this dataset 526 meV/atom, uncorrected formation energy 0.00 eV per atom, DFT total energy -50.63 eV/cell.